# HfMn3I, relaxed, DFT GGA-PBE
data_HfMn3I
_cell_length_a 4.7056
_cell_length_b 4.7056
_cell_length_c 4.7056
_cell_angle_alpha 90.00
_cell_angle_beta 90.00
_cell_angle_gamma 90.00
_symmetry_space_group_name_H-M 'P m -3 m'
_symmetry_Int_Tables_number 221
_symmetry_space_group_name_Hall '-P 4 2 3'
loop_
_atom_site_label
_atom_site_fract_x
_atom_site_fract_y
_atom_site_fract_z
Hf1 0.0000 0.0000 0.0000
Mn1 0.0000 0.5000 0.5000
I1 0.5000 0.5000 0.5000
# - total magnetic moment (μB/f.u.) = 7.206
# - excess energy over the best structure of this formula in the dataset (kJ/mol of formula units) = 0
# - formation energy (no corrections) (kJ/mol of formula units) = 635
# - DOS(E_F) (states/eV per cell) = 5.899
# - VASP energy (Ry per atom) = -0.4768